DFT (PBE) results for an optimized crystal structure of LaAlZnPt.

The density is 8.2 Mg/m³. For the formation energy, the calculation gives -725 meV per atom. For the uncorrected energy, the calculation gives -56.653 eV for the cell shown. The size of the total moment is 0.00 μB/cell. For the density of states at the Fermi level, the calculation gives 14.03 states/eV/cell.

Cell: 4.2955 4.2955 16.2645 Å, 90.00 90.00 120.00°
Space group R3m (No. 160, hexagonal axes)
Asymmetric unit:
La  0.0000  0.0000  0.0000 [3 per cell]
Al  0.0000  0.0000  0.7954 [3 per cell]
Zn  0.0000  0.0000  0.2085 [3 per cell]
Pt  0.0000  0.0000  0.4900 [3 per cell]